Below is an optimized crystal structure of SnHgS2, with properties calculated at the PBE level.

Results
Fermi-level density of states (states/eV/f.u.): 0.0
Energy (eV per atom): -3.405
Spin magnetization (μB/f.u.): 0.00
Energy relative to the elements, uncorrected (eV/f.u.): -1.1

Lattice parameters (Å, degrees): 11.040 11.040 11.040 19.22 19.22 19.22
Positions (direct):
Sn 0.000 0.000 0.000
Hg 0.500 0.500 0.500
S 0.379 0.379 0.379
S 0.621 0.621 0.621


Below is an optimized crystal structure of SnHgS2, with properties calculated at the PBE level.

Results
Fermi-level density of states (states/eV/f.u.): 0.0
Energy (eV per atom): -3.379
Spin magnetization (μB/f.u.): 0.00
Energy relative to the elements, uncorrected (eV/f.u.): -1.0

Lattice parameters (Å, degrees): 4.149 4.149 7.060 90.03 90.03 60.01
Positions (direct):
Sn 0.000 0.000 0.000
Hg 0.333 0.333 0.556
S 0.333 0.333 0.193
S 0.666 0.666 0.713